[1]
Below is a relaxed LaCo2Sb2 crystal, with properties calculated at the PBE level.

Computed properties:
**DOS at the Fermi energy**: 10.69 states/eV per cell
**DFT total energy**: -56.2 eV/cell
**Magnetic moment**: 2.5 μB per formula unit

a b c (Å): 7.6320 7.6320 3.4689
angles (deg): 90.00 90.00 90.00
Last column: nearest neighbours and their distance in Å.
Space group P4/mbm (No. 127)
Unique sites:
La1 0.0000 0.0000 0.0000 [2 per cell]  4 Co 3.07, 8 Sb 3.34
Co1 0.1135 0.3865 0.0000 [4 per cell]  1 Co 2.45
Sb1 0.1638 0.6638 0.5000 [4 per cell]  6 Co 2.76-2.96

=====

[2]
Below is a relaxed Er6Sb2Se crystal, with properties calculated at the PBE level.

Computed properties:
**DOS at the Fermi energy**: 17.79 states/eV per cell
**DFT total energy**: -93.5 eV/cell
**Magnetic moment**: 0.0 μB per formula unit

a b c (Å): 6.4748 7.8620 11.6868
angles (deg): 90.00 122.48 90.00
Last column: nearest neighbours and their distance in Å.
Space group P2_1/c (No. 14)
Unique sites:
Er1 0.0880 0.1914 0.4506 [4 per cell]  1 Se 2.84, 2 Sb 3.09-3.14
Er2 0.3085 0.6699 0.4490 [4 per cell]  1 Se 2.80, 2 Sb 3.08-3.12
Er3 0.3692 0.0274 0.2298 [4 per cell]  1 Se 2.80, 2 Sb 3.09-3.10
Sb1 0.1650 0.1213 0.7437 [4 per cell]  8 Er 3.08-3.39
Se1 0.5000 0.0000 0.5000 [2 per cell]  6 Er 2.80-2.84

=====

[3]
Below is a relaxed Cs2RbAu2Br6 crystal, with properties calculated at the PBE level.

Computed properties:
**DOS at the Fermi energy**: 12.32 states/eV per cell
**DFT total energy**: -59.9 eV/cell
**Magnetic moment**: 0.0 μB per formula unit

a b c (Å): 14.4968 7.4011 9.8529
angles (deg): 90.00 115.16 90.00
Last column: nearest neighbours and their distance in Å.
Space group C2/m (No. 12)
Unique sites:
Cs1 0.2017 0.0000 0.1984 [4 per cell]  7 Br 3.75-4.08
Rb1 0.0000 0.0000 0.5000 [2 per cell]  6 Br 3.44-3.45
Au1 0.0511 0.5000 0.2559 [4 per cell]  3 Br 2.48-2.57
Br1 0.0779 0.2394 0.8295 [8 per cell]  1 Au 2.57
Br2 0.2401 0.5000 0.3891 [4 per cell]  1 Au 2.48

=====

[4]
Below is a relaxed Mg2TiAuN crystal, with properties calculated at the PBE level.

Computed properties:
**DOS at the Fermi energy**: 4.08 states/eV per cell
**DFT total energy**: -26.0 eV/cell
**Magnetic moment**: 0.0 μB per formula unit

a b c (Å): 4.3373 4.3373 4.0244
angles (deg): 90.00 90.00 90.00
Last column: nearest neighbours and their distance in Å.
Space group P4/mmm (No. 123)
Unique sites:
Mg1 0.0000 0.5000 0.0000 [2 per cell]  2 N 2.17
Ti1 0.0000 0.0000 0.5000 [1 per cell]  2 N 2.01
Au1 0.5000 0.5000 0.5000 [1 per cell]  8 Mg 2.96, 4 Ti 3.07
N1 0.0000 0.0000 0.0000 [1 per cell]  2 Ti 2.01, 4 Mg 2.17

=====

[5]
Below is a relaxed LuPaSn2 crystal, with properties calculated at the PBE level.

Computed properties:
**DOS at the Fermi energy**: 5.79 states/eV per cell
**DFT total energy**: -23.4 eV/cell
**Offset from the most stable computed form**: 11 meV/atom
**Energy of formation from the pure elements**: -1.4 eV per formula unit
**Magnetic moment**: 0.4 μB per formula unit

a b c (Å): 3.3518 3.3518 8.9930
angles (deg): 90.00 90.00 90.00
Last column: nearest neighbours and their distance in Å.
Space group P4/mmm (No. 123)
Unique sites:
Lu1 0.0000 0.0000 0.0000 [1 per cell]  8 Sn 3.23, 4 Lu 3.35
Pa1 0.0000 0.0000 0.5000 [1 per cell]  8 Sn 3.30, 4 Pa 3.35
Sn1 0.5000 0.5000 0.2447 [2 per cell]  4 Lu 3.23, 4 Pa 3.30, 4 Sn 3.35

=====

[6]
Below is a relaxed ZnInNiH crystal, with properties calculated at the PBE level.

Computed properties:
**DOS at the Fermi energy**: 2.30 states/eV per cell
**DFT total energy**: -26.3 eV/cell
**Offset from the most stable computed form**: 21 meV/atom
**Magnetic moment**: 0.0 μB per formula unit

a b c (Å): 3.5757 2.7552 11.2664
angles (deg): 90.00 90.00 90.00
Last column: nearest neighbours and their distance in Å.
Space group Amm2 (No. 38)
Unique sites:
Zn1 0.0000 0.0000 0.0000 [2 per cell]  2 H 1.87
In1 0.0000 0.0000 0.2757 [2 per cell]  2 In 2.76, 4 Ni 2.80, 2 Zn 2.88
Ni1 0.5000 0.0000 0.6288 [2 per cell]  2 H 1.65
H1 0.5000 0.0000 0.0477 [2 per cell]  2 Ni 1.65

=====

[7]
Below is a relaxed RbHg2Bi crystal, with properties calculated at the PBE level.

Computed properties:
**DOS at the Fermi energy**: 2.06 states/eV per cell
**DFT total energy**: -12.1 eV/cell
**Energy of formation from the pure elements**: -0.6 eV per formula unit
**Magnetic moment**: 0.0 μB per formula unit

a b c (Å): 6.2185 10.4464 5.4460
angles (deg): 90.00 90.00 90.00
Last column: nearest neighbours and their distance in Å.
Space group Cmmm (No. 65)
Unique sites:
Rb1 0.0000 0.0000 0.0000 [2 per cell]  8 Hg 4.08, 4 Bi 4.13
Hg1 0.2500 0.2500 0.5000 [4 per cell]  2 Bi 3.04, 2 Hg 3.11
Bi1 0.0000 0.5000 0.5000 [2 per cell]  4 Hg 3.04

=====

[8]
Below is a relaxed Pu4GaRh crystal, with properties calculated at the PBE level.

Computed properties:
**DOS at the Fermi energy**: 56.44 states/eV per cell
**DFT total energy**: -137.1 eV/cell
**Energy of formation from the pure elements**: -0.8 eV per formula unit
**Magnetic moment**: 23.5 μB per formula unit

a b c (Å): 7.0847 7.0847 5.7515
angles (deg): 90.00 90.00 90.00
Last column: nearest neighbours and their distance in Å.
Space group P4/mcc (No. 124)
Unique sites:
Pu1 0.1538 0.3333 0.0000 [8 per cell]  2 Rh 2.97, 2 Ga 3.08, 1 Pu 3.21
Ga1 0.5000 0.5000 0.2500 [2 per cell]  2 Ga 2.88, 8 Pu 3.08
Rh1 0.0000 0.0000 0.2500 [2 per cell]  2 Rh 2.88, 8 Pu 2.97

=====

[9]
Below is a relaxed ScFe2Te crystal, with properties calculated at the PBE level.

Computed properties:
**DOS at the Fermi energy**: 13.90 states/eV per cell
**DFT total energy**: -80.5 eV/cell
**Magnetic moment**: 3.1 μB per formula unit

a b c (Å): 4.0325 4.0325 15.1377
angles (deg): 90.00 90.00 120.00
Last column: nearest neighbours and their distance in Å.
Space group R3m (No. 160, hexagonal axes)
Unique sites:
Sc1 0.0000 0.0000 0.0000 [3 per cell]  6 Fe 2.86-2.97, 4 Te 3.04-3.09
Fe1 0.0000 0.0000 0.2232 [3 per cell]  3 Fe 2.33
Fe2 0.0000 0.0000 0.5453 [3 per cell]  3 Fe 2.33
Te1 0.0000 0.0000 0.7956 [3 per cell]  6 Fe 2.65-2.73

=====

[10]
Below is a relaxed Np2PaPdS4 crystal, with properties calculated at the PBE level.

Computed properties:
**DOS at the Fermi energy**: 26.21 states/eV per cell
**DFT total energy**: -131.9 eV/cell
**Magnetic moment**: 10.4 μB per formula unit

a b c (Å): 6.8078 6.8078 6.6475
angles (deg): 90.00 90.00 90.00
Last column: nearest neighbours and their distance in Å.
Space group I-42m (No. 121)
Unique sites:
Np1 0.0000 0.5000 0.0000 [4 per cell]  8 S 2.81-3.10
Pa1 0.0000 0.0000 0.0000 [2 per cell]  8 S 2.80-3.11
Pd1 0.0000 0.0000 0.5000 [2 per cell]  4 S 2.48
S1 0.2123 0.2123 0.2885 [8 per cell]  1 Pd 2.48

=====

[11]
Below is a relaxed Ca2CoCu crystal, with properties calculated at the PBE level.

Computed properties:
**DOS at the Fermi energy**: 7.77 states/eV per cell
**DFT total energy**: -29.8 eV/cell
**Offset from the most stable computed form**: 0 meV/atom
**Energy of formation from the pure elements**: 0.3 eV per formula unit
**Magnetic moment**: 0.6 μB per formula unit

a b c (Å): 4.1010 4.1827 10.6490
angles (deg): 90.00 90.00 90.00
Last column: nearest neighbours and their distance in Å.
Space group Amm2 (No. 38)
Unique sites:
Ca1 0.0000 0.0000 0.0000 [2 per cell]  3 Co 2.96-3.23, 4 Cu 3.07
Ca2 0.5000 0.0000 0.2851 [2 per cell]  3 Cu 2.98-3.20, 4 Co 3.08
Co1 0.0000 0.0000 0.6965 [2 per cell]  2 Cu 2.36
Cu1 0.5000 0.0000 0.5860 [2 per cell]  2 Co 2.36

=====

[12]
Below is a relaxed PrNpPt6 crystal, with properties calculated at the PBE level.

Computed properties:
**DOS at the Fermi energy**: 10.47 states/eV per cell
**DFT total energy**: -57.8 eV/cell
**Energy of formation from the pure elements**: -3.8 eV per formula unit
**Magnetic moment**: 2.5 μB per formula unit

a b c (Å): 5.3569 5.3569 5.3569
angles (deg): 90.00 90.00 90.00
Last column: nearest neighbours and their distance in Å.
Space group Pm-3 (No. 200)
Unique sites:
Pr1 0.0000 0.0000 0.0000 [1 per cell]  12 Pt 3.00
Np1 0.5000 0.5000 0.5000 [1 per cell]  12 Pt 2.99
Pt1 0.0000 0.2536 0.5000 [6 per cell]  2 Pt 2.64-2.72

=====

Q: Among the records above, which one has the lowest DFT total energy?
A: Pu4GaRh